# MnGaAuCl2

A relaxed structure of MnGaAuCl2 (PBE, the Alexandria database).

## Properties
ΔE_f (raw): 0.11 eV per atom

The structure in CIF format:
```
data_MnGaAuCl2
_chemical_formula_sum 'Mn1 Ga1 Au1 Cl2'
_symmetry_space_group_name_H-M 'P 4/m m m'
_symmetry_Int_Tables_number 123
_symmetry_space_group_name_Hall '-P 4 2'
_cell_length_a 5.049
_cell_length_b 5.049
_cell_length_c 5.077
_cell_angle_alpha 90.00
_cell_angle_beta 90.00
_cell_angle_gamma 90.00
loop_
_atom_site_label
_atom_site_fract_x
_atom_site_fract_y
_atom_site_fract_z
Mn1 0.000 0.000 0.000
Ga1 0.500 0.500 0.500
Au1 0.500 0.500 0.000
Cl1 0.000 0.500 0.500
```

---

# LaTmIrO6

A relaxed structure of LaTmIrO6 (PBE, the Alexandria database).

## Properties
ΔE_f (raw): -2.24 eV per atom

The structure in CIF format:
```
data_LaTmIrO6
_chemical_formula_sum 'La1 Tm1 Ir1 O6'
_symmetry_space_group_name_H-M 'P 3 1 2'
_symmetry_Int_Tables_number 149
_symmetry_space_group_name_Hall 'P 3 2'
_cell_length_a 5.4781
_cell_length_b 5.4781
_cell_length_c 5.1428
_cell_angle_alpha 90.00
_cell_angle_beta 90.00
_cell_angle_gamma 120.00
loop_
_atom_site_label
_atom_site_fract_x
_atom_site_fract_y
_atom_site_fract_z
La1 0.0000 0.0000 0.0000
Tm1 0.3333 0.6667 0.5000
Ir1 0.6667 0.3333 0.5000
O1 0.3754 0.0351 0.7168
```

---

# Ti5VPt2Rh2

A relaxed structure of Ti5VPt2Rh2 (PBE, the Alexandria database).

## Properties
uncorrected energy: -7.90 eV/atom

The structure in CIF format:
```
data_Ti5VPt2Rh2
_chemical_formula_sum 'Ti10 V2 Pt4 Rh4'
_symmetry_space_group_name_H-M 'P 4/m b m'
_symmetry_Int_Tables_number 127
_symmetry_space_group_name_Hall '-P 4 2ab'
_cell_length_a 10.675
_cell_length_b 10.675
_cell_length_c 2.904
_cell_angle_alpha 90.00
_cell_angle_beta 90.00
_cell_angle_gamma 90.00
loop_
_atom_site_label
_atom_site_fract_x
_atom_site_fract_y
_atom_site_fract_z
Ti1 0.000 0.500 0.000
Ti2 0.136 0.154 0.000
V1 0.000 0.000 0.500
Pt1 0.151 0.651 0.500
Rh1 0.143 0.357 0.500
```

---

# Sb2MoPt

A relaxed structure of Sb2MoPt (PBE, the Alexandria database).

## Properties
ΔE_f (raw): 0.20 eV per atom
polymorph energy (0 for the lowest one): 262 meV/atom

The structure in CIF format:
```
data_Sb2MoPt
_chemical_formula_sum 'Sb4 Mo2 Pt2'
_symmetry_space_group_name_H-M 'I m m 2'
_symmetry_Int_Tables_number 44
_symmetry_space_group_name_Hall 'I 2 -2'
_cell_length_a 3.501
_cell_length_b 4.424
_cell_length_c 10.218
_cell_angle_alpha 90.00
_cell_angle_beta 90.00
_cell_angle_gamma 90.00
loop_
_atom_site_label
_atom_site_fract_x
_atom_site_fract_y
_atom_site_fract_z
Sb1 0.000 0.000 0.000
Sb2 0.000 0.500 0.233
Mo1 0.000 0.500 0.719
Pt1 0.000 0.000 0.507
```

---

# Pr2DyCu9

A relaxed structure of Pr2DyCu9 (PBE, the Alexandria database).

## Properties
uncorrected energy: -4.39 eV/atom

The structure in CIF format:
```
data_Pr2DyCu9
_chemical_formula_sum 'Pr6 Dy3 Cu27'
_symmetry_space_group_name_H-M 'R -3 m'
_symmetry_Int_Tables_number 166
_symmetry_space_group_name_Hall '-R 3 2"'
_cell_length_a 5.2041
_cell_length_b 5.2041
_cell_length_c 25.5530
_cell_angle_alpha 90.00
_cell_angle_beta 90.00
_cell_angle_gamma 120.00
loop_
_atom_site_label
_atom_site_fract_x
_atom_site_fract_y
_atom_site_fract_z
Pr1 0.0000 0.0000 0.1402
Dy1 0.0000 0.0000 0.0000
Cu1 0.0000 0.0000 0.3319
Cu2 0.0000 0.0000 0.5000
Cu3 0.0036 0.5018 0.0792
```

---

# In2Ga5

A relaxed structure of In2Ga5 (PBE, the Alexandria database).

## Properties
uncorrected energy: -2.92 eV/atom

The structure in CIF format:
```
data_In2Ga5
_chemical_formula_sum 'In4 Ga10'
_symmetry_space_group_name_H-M 'C 1 2/m 1'
_symmetry_Int_Tables_number 12
_symmetry_space_group_name_Hall '-C 2y'
_cell_length_a 11.708
_cell_length_b 4.187
_cell_length_c 7.358
_cell_angle_alpha 90.00
_cell_angle_beta 121.37
_cell_angle_gamma 90.00
loop_
_atom_site_label
_atom_site_fract_x
_atom_site_fract_y
_atom_site_fract_z
In1 0.129 0.000 0.345
Ga1 0.000 0.500 0.000
Ga2 0.086 0.500 0.706
Ga3 0.242 0.000 0.838
```